Entry from the Alexandria database: a relaxed structure of ZrScP (GGA-PBEsol).

```
ZrScP
1.0
3.4017 0.0000 0.0000
0.0000 3.4017 0.0000
0.0000 0.0000 9.3854
Zr Sc P
2 2 2
direct
0.0000 0.0000 0.0000 Zr
0.5000 0.5000 0.5000 Zr
0.0000 0.0000 0.3009 Sc
0.5000 0.5000 0.8009 Sc
0.0000 0.0000 0.6451 P
0.5000 0.5000 0.1451 P
```

## Properties
The value obtained for the magnetic moment is 0.00 μB per cell. The crystal system is tetragonal. The calculation puts the total energy at -7.984 eV per atom. For the energy relative to the elements, the calculation gives -0.822 eV per atom.